Entry 1:
Here is an optimized crystal structure of BSO2 from Alexandria via LeMat-Bulk. Energies are from GGA-PBEsol.

Unit cell a=4.532 b=4.767 c=4.532 alpha=61.62 beta=90.00 gamma=118.38
Atoms (fractional coordinates):
O1 0.875 0.250 0.449
O2 0.449 0.750 0.375
O3 0.301 0.750 0.875
O4 0.375 0.250 0.301
B1 0.250 0.500 0.250
B2 0.500 0.000 0.500
S1 0.750 0.500 0.750
S2 0.000 0.000 0.000

Summary:
Space-group type = I-42d
Electronic total energy = -50.07 eV for the cell shown
ΔE to the lowest computed polymorph = 0.000 eV per atom
Formation energy from raw total energies = -3.13 eV/f.u.
Total moment = 0.00 μB/atom
N(E_F) = 3.5 states/eV per cell

---

Entry 2:
Here is an optimized crystal structure of B2SO from Alexandria via LeMat-Bulk. Energies are from GGA-PBEsol.

Unit cell a=3.599 b=3.599 c=3.599 alpha=60.00 beta=60.00 gamma=60.00
Atoms (fractional coordinates):
O1 0.000 0.000 0.000
B1 0.250 0.250 0.250
B2 0.750 0.750 0.750
S1 0.500 0.500 0.500

Summary:
Space-group type = Fm-3m
Electronic total energy = -18.24 eV for the cell shown
Formation energy from raw total energies = 5.43 eV/f.u.
Total moment = 0.00 μB/atom
N(E_F) = 1.1 states/eV per cell

---

Q: Which formula does entry 1 have?
A: BSO2

---

Q: Which formula does entry 1 have?
A: BSO2

---

Q: What is the formula in the second record?
A: B2SO

---

Q: Look up the formation energy from raw total energies of the second one.
A: 5.43 eV/f.u.